# 1
The following is a PBE calculation of a relaxed NdPaN2F crystal, from Alexandria.

Lattice parameters (Å, degrees): 3.537 3.537 11.678 90.00 90.00 90.00
Positions (direct):
Nd1 0.250 0.250 0.147
Nd2 0.750 0.750 0.853
Pa1 0.250 0.250 0.610
Pa2 0.750 0.750 0.390
N1 0.250 0.250 0.388
N2 0.250 0.250 0.788
N3 0.750 0.750 0.212
N4 0.750 0.750 0.612
F1 0.250 0.750 0.000
F2 0.750 0.250 0.000

Results
Uncorrected formation energy ... -213.9 kJ per mole of atoms
Symmetry ... No. 129



# 2
The following is a PBE calculation of a relaxed Ac2DyPd9 crystal, from Alexandria.

Lattice parameters (Å, degrees): 9.767 9.767 9.767 32.48 32.48 32.48
Positions (direct):
Ac1 0.136 0.136 0.136
Ac2 0.864 0.864 0.864
Dy1 0.000 0.000 0.000
Pd1 0.081 0.583 0.583
Pd2 0.333 0.333 0.333
Pd3 0.417 0.417 0.919
Pd4 0.417 0.919 0.417
Pd5 0.500 0.500 0.500
Pd6 0.583 0.081 0.583
Pd7 0.583 0.583 0.081
Pd8 0.667 0.667 0.667
Pd9 0.919 0.417 0.417

Results
Energy of formation from the pure elements ... -0.667 eV/atom
Relative energy among the computed polymorphs ... 1.21 eV/f.u.
Symmetry ... No. 166



# 3
The following is a PBE calculation of a relaxed LaTaPt3 crystal, from Alexandria.

Lattice parameters (Å, degrees): 5.065 5.065 5.065 90.00 90.00 90.00
Positions (direct):
La1 0.000 0.000 0.000
Ta1 0.500 0.500 0.500
Pt1 0.000 0.000 0.500
Pt2 0.000 0.500 0.000
Pt3 0.500 0.000 0.000

Results
Energy of formation from the pure elements ... 1.419 eV/atom
Relative energy among the computed polymorphs ... 8.50 eV/f.u.
Symmetry ... No. 221



# 4
The following is a PBE calculation of a relaxed Tl5BiSb2 crystal, from Alexandria.

Lattice parameters (Å, degrees): 7.332 14.529 4.723 90.00 90.00 90.00
Positions (direct):
Tl1 0.000 0.000 0.000
Tl2 0.009 0.247 0.000
Tl3 0.245 0.874 0.500
Tl4 0.255 0.374 0.500
Tl5 0.491 0.747 0.000
Tl6 0.500 0.500 0.000
Tl7 0.509 0.253 0.000
Tl8 0.745 0.626 0.500
Tl9 0.755 0.126 0.500
Tl10 0.991 0.753 0.000
Bi1 0.000 0.500 0.000
Bi2 0.500 0.000 0.000
Sb1 0.210 0.617 0.500
Sb2 0.290 0.117 0.500
Sb3 0.710 0.883 0.500
Sb4 0.790 0.383 0.500

Results
Uncorrected formation energy ... 0.6 kJ per mole of atoms
Symmetry ... No. 55